A PBEsol-optimized structure of LaYSc2. Source: Alexandria via LeMat-Bulk, functional meta-GGA SCAN.

excess energy over the best structure of this formula in the dataset: 66 meV/atom
calculated total energy: -24.721 eV per atom

Lattice parameters (Å, degrees): 5.412 5.412 5.412 60.00 60.00 60.00
Atoms (fractional coordinates):
La  0.000  0.000  0.000
Y  0.750  0.750  0.750
Sc  0.250  0.250  0.250
Sc  0.500  0.500  0.500